1.
The following is a DFT calculation (PBE) of crystalline HoMgMn at its relaxed geometry.

- SG = I4mm
- energy of formation (eV/atom) = 0.133

a b c (Å): 3.362 3.362 6.326
angles (deg): 105.41 105.41 90.00
Element x y z (fractional)
Ho (0.315, 0.315, 0.630)
Mn (0.661, 0.661, 0.322)
Mg (0.024, 0.024, 0.048)


2.
The following is a DFT calculation (PBE) of crystalline BaCd2Hg9 at its relaxed geometry.

- SG = I4_1/amd
- energy of formation (eV/atom) = -0.137

a b c (Å): 8.259 9.712 9.712
angles (deg): 79.58 64.84 64.84
Element x y z (fractional)
Cd (0.875, 0.750, 0.250)
Cd (0.875, 0.250, 0.750)
Cd (0.375, 0.750, 0.750)
Cd (0.875, 0.250, 0.250)
Hg (0.765, 0.574, 0.816)
Hg (0.089, 0.316, 0.926)
Hg (0.661, 0.184, 0.574)
Hg (0.594, 0.316, 0.074)
Hg (0.750, 0.500, 0.500)
Hg (0.000, 0.000, 0.000)
Hg (0.156, 0.426, 0.184)
Hg (0.594, 0.074, 0.316)
Hg (0.156, 0.184, 0.426)
Hg (0.331, 0.684, 0.074)
Hg (0.419, 0.816, 0.426)
Hg (0.419, 0.426, 0.816)
Hg (0.089, 0.926, 0.316)
Hg (0.661, 0.574, 0.184)
Hg (0.985, 0.684, 0.926)
Hg (0.985, 0.926, 0.684)
Hg (0.765, 0.816, 0.574)
Hg (0.331, 0.074, 0.684)
Ba (0.250, 0.500, 0.500)
Ba (0.500, 0.000, 0.000)


| no. | density of states at the Fermi level (states/eV per atom) | raw total energy (eV/atom) |
| --- | --- | --- |
| 1 | 0.836 | -4.98 |
| 2 | 0.335 | -0.68 |